Pm2PrSm2 after structural relaxation, computed with PBE.

Summary:
Space group: C2/c
Formation energy from the elements, kJ/mol of formula units: 87.2

abc: 6.303 6.303 10.001
angles: 107.00 98.93 106.85
Fractional coordinates of all 10 atoms:
Pm 0.289 0.295 0.500
Pm 0.204 0.711 0.000
Pm 0.711 0.705 0.500
Pm 0.796 0.289 0.000
Sm 0.352 0.311 0.153
Sm 0.842 0.301 0.653
Sm 0.648 0.689 0.847
Sm 0.158 0.699 0.347
Pr 0.749 0.999 0.250
Pr 0.251 0.001 0.750

=====

Ga2SnSb2 after structural relaxation, computed with PBE.

Summary:
Space group: P4/mbm
Uncorrected formation energy, eV/atom: 0.107

abc: 8.003 8.003 3.797
angles: 90.00 90.00 90.00
Fractional coordinates of all 10 atoms:
Ga 0.871 0.629 0.000
Ga 0.129 0.371 0.000
Ga 0.371 0.871 0.000
Ga 0.629 0.129 0.000
Sb 0.667 0.833 0.500
Sb 0.833 0.333 0.500
Sb 0.167 0.667 0.500
Sb 0.333 0.167 0.500
Sn 0.000 0.000 0.000
Sn 0.500 0.500 0.000

=====

no.,polymorph energy (0 for the lowest one) (meV per atom)
1,86.6
2,21.8